[1]
DFT (PBE) results for AcCd2In after structural relaxation.

Lattice parameters (Å, degrees): 7.461 6.396 6.396 47.37 90.00 90.00
Fractional positions:
1 Ac 0.000 0.000 0.000
2 Ac 0.500 0.193 0.193
3 Cd 0.000 0.299 0.299
4 Cd 0.306 0.472 0.472
5 Cd 0.500 0.898 0.898
6 Cd 0.694 0.472 0.472
7 In 0.199 0.714 0.714
8 In 0.801 0.714 0.714

[2]
DFT (PBE) results for Ac8Cd2In after structural relaxation.

Computed properties:
Energy relative to the lowest polymorph listed for this composition   0.0183 eV per atom

Lattice parameters (Å, degrees): 10.393 10.393 8.061 108.23 108.23 31.82
Fractional positions:
1 Ac 0.024 0.024 0.269
2 Ac 0.196 0.196 0.803
3 Ac 0.332 0.332 0.536
4 Ac 0.409 0.409 0.041
5 Ac 0.591 0.591 0.959
6 Ac 0.668 0.668 0.464
7 Ac 0.804 0.804 0.197
8 Ac 0.976 0.976 0.731
9 Cd 0.182 0.182 0.201
10 Cd 0.818 0.818 0.799
11 In 0.500 0.500 0.500

[3]
DFT (PBE) results for AcCd2In3 after structural relaxation.

Computed properties:
Energy relative to the lowest polymorph listed for this composition   0.0000 eV per atom

Lattice parameters (Å, degrees): 8.223 8.223 6.589 90.00 90.00 52.31
Fractional positions:
1 Ac 0.197 0.803 0.750
2 Ac 0.803 0.197 0.250
3 Cd 0.346 0.346 0.000
4 Cd 0.346 0.346 0.500
5 Cd 0.654 0.654 0.000
6 Cd 0.654 0.654 0.500
7 In 0.068 0.301 0.750
8 In 0.301 0.068 0.250
9 In 0.307 0.693 0.250
10 In 0.693 0.307 0.750
11 In 0.699 0.932 0.750
12 In 0.932 0.699 0.250

[4]
DFT (PBE) results for AcCd4In after structural relaxation.

Computed properties:
Energy relative to the lowest polymorph listed for this composition   0.0000 eV per atom

Lattice parameters (Å, degrees): 9.264 9.264 7.449 90.00 90.00 149.89
Fractional positions:
1 Ac 0.126 0.874 0.750
2 Ac 0.874 0.126 0.250
3 Cd 0.061 0.939 0.250
4 Cd 0.333 0.667 0.555
5 Cd 0.333 0.667 0.945
6 Cd 0.500 0.500 0.000
7 Cd 0.500 0.500 0.500
8 Cd 0.667 0.333 0.055
9 Cd 0.667 0.333 0.445
10 Cd 0.939 0.061 0.750
11 In 0.228 0.772 0.250
12 In 0.772 0.228 0.750

[5]
DFT (PBE) results for AcCd12In6 after structural relaxation.

Lattice parameters (Å, degrees): 8.366 8.366 8.366 104.98 104.98 104.98
Fractional positions:
1 Ac 0.000 0.000 0.000
2 Cd 0.107 0.500 0.893
3 Cd 0.107 0.893 0.500
4 Cd 0.133 0.372 0.372
5 Cd 0.372 0.133 0.372
6 Cd 0.372 0.372 0.133
7 Cd 0.500 0.107 0.893
8 Cd 0.500 0.893 0.107
9 Cd 0.628 0.628 0.867
10 Cd 0.628 0.867 0.628
11 Cd 0.867 0.628 0.628
12 Cd 0.893 0.107 0.500
13 Cd 0.893 0.500 0.107
14 In 0.281 0.703 0.703
15 In 0.297 0.297 0.719
16 In 0.297 0.719 0.297
17 In 0.703 0.281 0.703
18 In 0.703 0.703 0.281
19 In 0.719 0.297 0.297

[6]
DFT (PBE) results for Ac3Cd4In4 after structural relaxation.

Computed properties:
Energy relative to the lowest polymorph listed for this composition   0.0000 eV per atom

Lattice parameters (Å, degrees): 9.445 9.445 9.445 149.25 131.40 58.62
Fractional positions:
1 Ac 0.000 0.000 0.000
2 Ac 0.372 0.872 0.500
3 Ac 0.628 0.128 0.500
4 Cd 0.025 0.335 0.690
5 Cd 0.355 0.665 0.690
6 Cd 0.645 0.335 0.310
7 Cd 0.975 0.665 0.310
8 In 0.219 0.219 0.000
9 In 0.313 0.500 0.813
10 In 0.687 0.500 0.187
11 In 0.781 0.781 0.000

[7]
DFT (PBE) results for Ac6CdIn after structural relaxation.

Lattice parameters (Å, degrees): 10.541 10.541 10.541 148.53 148.53 45.11
Fractional positions:
1 Ac 0.107 0.607 0.500
2 Ac 0.249 0.249 0.000
3 Ac 0.393 0.893 0.500
4 Ac 0.607 0.107 0.500
5 Ac 0.751 0.751 0.000
6 Ac 0.893 0.393 0.500
7 Cd 0.500 0.500 0.000
8 In 0.000 0.000 0.000

[8]
DFT (PBE) results for AcCd2In after structural relaxation.

Lattice parameters (Å, degrees): 4.846 4.846 5.019 90.00 90.00 90.00
Fractional positions:
1 Ac 0.000 0.000 0.000
2 Cd 0.000 0.500 0.500
3 Cd 0.500 0.000 0.500
4 In 0.500 0.500 0.000

[9]
DFT (PBE) results for Ac2CdIn after structural relaxation.

Lattice parameters (Å, degrees): 4.093 5.480 12.568 90.02 99.34 90.00
Fractional positions:
1 Ac 0.049 0.250 0.098
2 Ac 0.193 0.750 0.386
3 Ac 0.807 0.250 0.614
4 Ac 0.951 0.750 0.902
5 Cd 0.426 0.249 0.851
6 Cd 0.574 0.751 0.149
7 In 0.337 0.750 0.672
8 In 0.663 0.250 0.328

[10]
DFT (PBE) results for AcCdIn3 after structural relaxation.

Computed properties:
Energy relative to the lowest polymorph listed for this composition   0.0000 eV per atom

Lattice parameters (Å, degrees): 4.850 4.858 6.918 110.13 110.00 90.00
Fractional positions:
1 Ac 0.000 0.000 0.000
2 Cd 0.402 0.398 0.768
3 In 0.241 0.765 0.505
4 In 0.598 0.601 0.222
5 In 0.769 0.243 0.504

[11]
DFT (PBE) results for AcCd4In after structural relaxation.

Computed properties:
Energy relative to the lowest polymorph listed for this composition   0.0469 eV per atom

Lattice parameters (Å, degrees): 8.225 4.791 8.225 90.00 90.00 90.00
Fractional positions:
1 Ac 0.250 0.000 0.140
2 Ac 0.750 0.000 0.860
3 Cd 0.000 0.000 0.500
4 Cd 0.051 0.500 0.822
5 Cd 0.250 0.500 0.439
6 Cd 0.449 0.500 0.822
7 Cd 0.500 0.000 0.500
8 Cd 0.551 0.500 0.178
9 Cd 0.750 0.500 0.561
10 Cd 0.949 0.500 0.178
11 In 0.250 0.000 0.737
12 In 0.750 0.000 0.263

[12]
DFT (PBE) results for Ac2La2CdIn4 after structural relaxation.

Lattice parameters (Å, degrees): 7.448 7.448 7.448 116.90 116.90 95.46
Fractional positions:
1 Ac 0.192 0.192 0.000
2 Ac 0.808 0.808 0.000
3 La 0.250 0.750 0.500
4 La 0.750 0.250 0.500
5 Cd 0.500 0.500 0.000
6 In 0.251 0.251 0.502
7 In 0.251 0.749 0.000
8 In 0.749 0.251 0.000
9 In 0.749 0.749 0.498

no.,energy of formation (meV/atom),total magnetic moment (μB/atom),D(E_F) (states/eV/f.u.)
1,-353,0.00,1.4
2,-132,0.00,12.6
3,-100,0.00,3.8
4,-228,0.00,2.2
5,33,0.00,6.8
6,-400,0.00,6.9
7,-173,0.00,9.9
8,-250,0.00,3.4
9,-324,0.00,4.0
10,-307,0.00,1.2
11,-181,0.00,1.9
12,-170,0.11,9.0